1.
This record from Alexandria via LeMat-Bulk describes crystalline CsTc2GeO8 at its relaxed geometry. The functional is PBE.

abc: 5.4837 5.4837 28.2095
angles: 90.00 90.00 120.00
Space group R32 (No. 155, hexagonal axes)
Asymmetric unit:
Cs  0.0000  0.0000  0.0000
Tc  0.0000  0.0000  0.2385
Ge  0.0000  0.0000  0.5000
O  0.0000  0.0000  0.3007
O  0.0094  0.3845  0.8842

## Properties
uncorrected formation energy	-1391	meV per atom
DOS(E_F)	19.23	states/eV/cell

---

2.
This record from Alexandria via LeMat-Bulk describes crystalline CsGe2TeO8 at its relaxed geometry. The functional is PBE.

abc: 8.4662 5.6210 8.4395
angles: 90.00 105.31 90.00
Space group C2/m (No. 12)
Asymmetric unit:
Cs  0.0000  0.0000  0.0000
Ge  0.0915  0.5000  0.3055
Te  0.0000  0.0000  0.5000
O  0.0289  0.2424  0.6724
O  0.1277  0.5000  0.1111
O  0.2328  0.0000  0.5223

## Properties
uncorrected formation energy	-1242	meV per atom

---

3.
This record from Alexandria via LeMat-Bulk describes crystalline CsGeTe2O8 at its relaxed geometry. The functional is PBE.

abc: 5.3255 5.3255 9.3421
angles: 90.00 90.00 120.00
Space group P-3 (No. 147)
Asymmetric unit:
Cs  0.0000  0.0000  0.0000
Ge  0.0000  0.0000  0.5000
Te  0.3333  0.6667  0.6764
O  0.0122  0.2966  0.6227
O  0.3333  0.6667  0.8718

## Properties
uncorrected formation energy	-1079	meV per atom
DOS(E_F)	3.33	states/eV/cell

---

4.
This record from Alexandria via LeMat-Bulk describes crystalline CsGeTeO6 at its relaxed geometry. The functional is PBE.

abc: 5.1787 5.1787 6.9069
angles: 90.00 90.00 120.00
Space group P312 (No. 149)
Asymmetric unit:
Cs  0.0000  0.0000  0.0000
Ge  0.3333  0.6667  0.5000
Te  0.6667  0.3333  0.5000
O  0.0034  0.3861  0.6588

## Properties
uncorrected formation energy	-1210	meV per atom
DOS(E_F)	8.70	states/eV/cell